CaTeBr3 | PBE | optimized geometry

POSCAR file:
```
CaTeBr3
1.0
5.700 0.000 0.000
0.000 5.700 0.000
0.000 0.000 5.700
Br Ca Te
3 1 1
Direct
0.000 0.500 0.000 Br
0.000 0.000 0.500 Br
0.500 0.000 0.000 Br
0.000 0.000 0.000 Ca
0.500 0.500 0.500 Te
```

Output
Spin magnetization   2.98 Bohr magnetons per cell
Formation energy (no corrections)   -0.83 eV per atom
Symmetry   Pm-3m
V   37.04 Å³/atom


SrRe2AgTe | PBE | optimized geometry

POSCAR file:
```
SrRe2AgTe
1.0
4.979 0.000 0.000
0.000 5.273 0.000
0.000 0.000 4.979
Sr Re Ag Te
1 2 1 1
Direct
0.500 0.500 0.500 Sr
0.000 0.000 0.500 Re
0.500 0.000 0.000 Re
0.000 0.500 0.000 Ag
0.000 0.000 0.000 Te
```

Output
Spin magnetization   2.04 Bohr magnetons per cell
Formation energy (no corrections)   1.40 eV per atom
Symmetry   P4/mmm
V   26.14 Å³/atom


CaZr2Br | PBE | optimized geometry

POSCAR file:
```
CaZr2Br
1.0
3.314 0.005 0.000
-1.603 2.901 0.000
0.000 0.000 10.695
Ca Zr Br
1 2 1
Direct
0.500 0.500 0.750 Ca
0.000 0.000 0.469 Zr
0.000 0.000 0.031 Zr
0.500 0.500 0.250 Br
```

Output
Energy above the most stable polymorph in this dataset   383.4 meV per atom
Spin magnetization   0.00 Bohr magnetons per cell
Formation energy (no corrections)   0.08 eV per atom
Symmetry   Cmmm
V   25.72 Å³/atom


LaPr5Er3 | PBE | optimized geometry

POSCAR file:
```
LaPr5Er3
1.0
8.678 0.000 0.000
0.000 8.678 0.000
-4.339 -4.339 8.326
Pr Er La
10 6 2
Direct
0.500 0.500 0.000 Pr
0.557 0.665 0.722 Pr
0.335 0.835 0.278 Pr
0.443 0.335 0.278 Pr
0.057 0.557 0.722 Pr
0.835 0.943 0.278 Pr
0.000 0.000 0.000 Pr
0.665 0.165 0.722 Pr
0.943 0.443 0.278 Pr
0.165 0.057 0.722 Pr
0.877 0.623 0.000 Er
0.123 0.377 0.000 Er
0.750 0.750 0.500 Er
0.377 0.877 0.000 Er
0.250 0.250 0.500 Er
0.623 0.123 0.000 Er
0.750 0.250 0.500 La
0.250 0.750 0.500 La
```

Output
Spin magnetization   0.00 Bohr magnetons per cell
Symmetry   I4/mcm
V   34.84 Å³/atom
Calculated formation energy   25.6 kJ per mole of atoms


AcPr12Nd7 | PBE | optimized geometry

POSCAR file:
```
AcPr12Nd7
1.0
8.793 1.065 1.599
-1.422 8.743 1.599
-1.422 -1.892 8.684
Nd Pr Ac
7 12 1
Direct
0.388 0.063 0.161 Nd
0.161 0.388 0.063 Nd
0.612 0.937 0.839 Nd
0.839 0.612 0.937 Nd
0.937 0.839 0.612 Nd
0.063 0.161 0.388 Nd
0.500 0.500 0.500 Nd
0.488 0.374 0.851 Pr
0.512 0.626 0.149 Pr
0.117 0.713 0.263 Pr
0.883 0.287 0.737 Pr
0.263 0.117 0.713 Pr
0.149 0.512 0.626 Pr
0.287 0.737 0.883 Pr
0.713 0.263 0.117 Pr
0.851 0.488 0.374 Pr
0.374 0.851 0.488 Pr
0.626 0.149 0.512 Pr
0.737 0.883 0.287 Pr
0.000 0.000 0.000 Ac
```

Output
Energy above the most stable polymorph in this dataset   0.0 meV per atom
Spin magnetization   0.00 Bohr magnetons per cell
Symmetry   R-3
V   36.46 Å³/atom
Calculated formation energy   18.6 kJ per mole of atoms


Pr8CoIr3I4 | PBE | optimized geometry

POSCAR file:
```
Pr8CoIr3I4
1.0
8.426 0.000 0.000
0.000 9.487 0.738
-4.213 -4.206 5.962
Ir Pr I Co
3 8 4 1
Direct
0.000 0.500 0.500 Ir
0.500 0.500 0.000 Ir
0.500 0.500 0.500 Ir
0.224 0.683 0.959 Pr
0.776 0.317 0.041 Pr
0.224 0.683 0.448 Pr
0.776 0.317 0.552 Pr
0.265 0.317 0.041 Pr
0.271 0.315 0.543 Pr
0.735 0.683 0.959 Pr
0.729 0.685 0.457 Pr
0.000 0.000 0.500 I
0.000 0.000 0.000 I
0.500 0.000 0.500 I
0.500 0.000 0.000 I
0.000 0.500 0.000 Co
```

Output
Spin magnetization   0.00 Bohr magnetons per cell
Formation energy (no corrections)   -0.86 eV per atom
Symmetry   R-3m
V   31.42 Å³/atom


TlCdReI2 | PBE | optimized geometry

POSCAR file:
```
TlCdReI2
1.0
-2.688 -1.613 -4.549
4.528 0.763 -2.946
1.507 -5.228 0.963
Tl Re I Cd
1 1 2 1
Direct
0.500 0.500 0.500 Tl
0.000 0.000 0.000 Re
0.500 0.000 0.000 I
0.000 0.000 0.500 I
0.000 0.500 0.000 Cd
```

Output
Spin magnetization   2.30 Bohr magnetons per cell
Formation energy (no corrections)   0.59 eV per atom
Symmetry   P4/mmm
V   33.31 Å³/atom


Tm11Mg9Ni4 | PBE | optimized geometry

POSCAR file:
```
Tm11Mg9Ni4
1.0
3.542 0.000 0.000
0.000 12.097 -5.198
0.000 -0.026 13.166
Mg Tm Ni
9 11 4
Direct
0.500 0.920 0.780 Mg
0.500 0.635 0.153 Mg
0.500 0.500 0.500 Mg
0.500 0.080 0.220 Mg
0.500 0.365 0.847 Mg
0.500 0.153 0.635 Mg
0.500 0.847 0.365 Mg
0.500 0.780 0.920 Mg
0.500 0.220 0.080 Mg
0.000 0.418 0.086 Tm
0.000 0.582 0.914 Tm
0.000 0.373 0.627 Tm
0.000 0.627 0.373 Tm
0.000 0.000 0.000 Tm
0.000 0.314 0.314 Tm
0.000 0.686 0.686 Tm
0.000 0.086 0.418 Tm
0.000 0.154 0.846 Tm
0.000 0.846 0.154 Tm
0.000 0.914 0.582 Tm
0.500 0.254 0.451 Ni
0.500 0.549 0.746 Ni
0.500 0.746 0.549 Ni
0.500 0.451 0.254 Ni
```

Output
Spin magnetization   0.00 Bohr magnetons per cell
Symmetry   Cmmm
V   23.49 Å³/atom
Calculated formation energy   -21.7 kJ per mole of atoms


Re2PdS | PBE | optimized geometry

POSCAR file:
```
Re2PdS
1.0
-3.339 2.909 -2.992
-3.305 -4.183 -0.379
-5.965 1.037 2.892
Pd S Re
2 2 4
Direct
0.000 0.000 0.000 Pd
0.750 0.250 0.500 Pd
0.250 0.750 0.500 S
0.500 0.500 0.000 S
0.585 0.125 0.250 Re
0.875 0.835 0.750 Re
0.165 0.625 0.250 Re
0.375 0.415 0.750 Re
```

Output
Energy above the most stable polymorph in this dataset   504.7 meV per atom
Spin magnetization   0.00 Bohr magnetons per cell
Formation energy (no corrections)   1.08 eV per atom
Symmetry   I-42d
V   19.79 Å³/atom


Tb3PuBi4 | PBE | optimized geometry

POSCAR file:
```
Tb3PuBi4
1.0
-5.365 -2.635 -2.207
-2.080 -0.768 5.974
-2.737 5.750 -0.214
Bi Pu Tb
4 1 3
Direct
0.500 0.000 0.000 Bi
0.000 0.000 0.500 Bi
0.500 0.500 0.500 Bi
0.000 0.500 0.000 Bi
0.000 0.000 0.000 Pu
0.500 0.500 0.000 Tb
0.000 0.500 0.500 Tb
0.500 0.000 0.500 Tb
```

Output
Energy above the most stable polymorph in this dataset   3.7 meV per atom
Spin magnetization   5.12 Bohr magnetons per cell
Symmetry   Pm-3m
V   32.34 Å³/atom
Calculated formation energy   -70.6 kJ per mole of atoms


ScAlGa2 | PBE | optimized geometry

POSCAR file:
```
ScAlGa2
1.0
-5.645 2.505 -4.035
3.726 -1.551 -6.175
-2.101 -2.145 -5.136
Sc Ga Al
2 4 2
Direct
0.750 0.250 0.500 Sc
0.000 0.000 0.000 Sc
0.875 0.846 0.750 Ga
0.375 0.404 0.750 Ga
0.154 0.625 0.250 Ga
0.596 0.125 0.250 Ga
0.250 0.750 0.500 Al
0.500 0.500 0.000 Al
```

Output
Spin magnetization   0.00 Bohr magnetons per cell
Symmetry   I-42d
V   19.45 Å³/atom
Calculated formation energy   -17.9 kJ per mole of atoms


CrIr | PBE | optimized geometry

POSCAR file:
```
CrIr
1.0
7.791 0.000 0.000
0.000 7.791 0.000
0.000 0.000 4.359
Ir Cr
8 8
Direct
0.107 0.235 0.000 Ir
0.235 0.107 0.500 Ir
0.893 0.765 0.000 Ir
0.107 0.765 0.500 Ir
0.235 0.893 0.000 Ir
0.893 0.235 0.500 Ir
0.765 0.107 0.000 Ir
0.765 0.893 0.500 Ir
0.435 0.866 0.500 Cr
0.134 0.435 0.500 Cr
0.435 0.134 0.000 Cr
0.565 0.134 0.500 Cr
0.866 0.435 0.000 Cr
0.565 0.866 0.000 Cr
0.134 0.565 0.000 Cr
0.866 0.565 0.500 Cr
```

Output
Spin magnetization   0.00 Bohr magnetons per cell
Symmetry   P4/mcc
V   16.54 Å³/atom
Calculated formation energy   37.7 kJ per mole of atoms


Nd6C3ICl2 | PBE | optimized geometry

POSCAR file:
```
Nd6C3ICl2
1.0
3.834 0.000 0.000
0.000 8.602 -0.385
-1.917 -3.210 8.688
I C Nd Cl
1 3 6 2
Direct
0.500 0.000 0.000 I
0.167 0.830 0.334 C
0.833 0.170 0.666 C
0.500 0.500 0.000 C
0.653 0.616 0.306 Nd
0.347 0.384 0.694 Nd
0.683 0.050 0.366 Nd
0.015 0.709 0.030 Nd
0.985 0.291 0.970 Nd
0.317 0.950 0.634 Nd
0.170 0.337 0.341 Cl
0.830 0.663 0.659 Cl
```

Output
Spin magnetization   0.00 Bohr magnetons per cell
Formation energy (no corrections)   -0.89 eV per atom
Symmetry   C2/m
V   23.48 Å³/atom


ZrScIn3 | PBE | optimized geometry

POSCAR file:
```
ZrScIn3
1.0
5.430 0.000 0.000
0.000 5.430 0.000
0.000 0.000 5.430
Zr Sc In
1 1 3
Direct
0.000 0.000 0.000 Zr
0.500 0.500 0.500 Sc
0.500 0.000 0.000 In
0.000 0.500 0.000 In
0.000 0.000 0.500 In
```

Output
Energy above the most stable polymorph in this dataset   845.2 meV per atom
Spin magnetization   0.00 Bohr magnetons per cell
Symmetry   Pm-3m
V   32.01 Å³/atom
Calculated formation energy   52.4 kJ per mole of atoms


Ca2MgSn3Pt4 | PBE | optimized geometry

POSCAR file:
```
Ca2MgSn3Pt4
1.0
4.320 0.000 0.000
0.000 4.320 0.000
0.000 0.000 11.774
Sn Ca Pt Mg
3 2 4 1
Direct
0.000 0.500 0.136 Sn
0.000 0.000 0.500 Sn
0.500 0.000 0.864 Sn
0.500 0.000 0.253 Ca
0.000 0.500 0.747 Ca
0.000 0.000 0.000 Pt
0.000 0.500 0.359 Pt
0.500 0.000 0.641 Pt
0.500 0.500 0.000 Pt
0.500 0.500 0.500 Mg
```

Output
Spin magnetization   0.00 Bohr magnetons per cell
Symmetry   P-4m2
V   21.98 Å³/atom
Calculated formation energy   -74.6 kJ per mole of atoms


Zn2SbH2 | PBE | optimized geometry

POSCAR file:
```
Zn2SbH2
1.0
3.320 0.000 0.000
0.000 3.320 0.000
1.660 1.660 6.200
H Zn Sb
2 2 1
Direct
0.750 0.250 0.500 H
0.250 0.750 0.500 H
0.336 0.336 0.328 Zn
0.664 0.664 0.672 Zn
0.000 0.000 0.000 Sb
```

Output
Energy above the most stable polymorph in this dataset   203.5 meV per atom
Spin magnetization   0.00 Bohr magnetons per cell
Symmetry   I4/mmm
V   13.67 Å³/atom


MnOs3Se | PBE | optimized geometry

POSCAR file:
```
MnOs3Se
1.0
4.454 0.000 0.000
0.000 4.454 0.000
0.000 0.000 4.454
Se Os Mn
1 3 1
Direct
0.500 0.500 0.500 Se
0.000 0.500 0.000 Os
0.500 0.000 0.000 Os
0.000 0.000 0.500 Os
0.000 0.000 0.000 Mn
```

Output
Energy above the most stable polymorph in this dataset   0.0 meV per atom
Spin magnetization   0.00 Bohr magnetons per cell
Formation energy (no corrections)   1.89 eV per atom
Symmetry   Pm-3m
V   17.67 Å³/atom


RbNiH3 | PBE | optimized geometry

POSCAR file:
```
RbNiH3
1.0
3.777 0.000 0.000
0.000 3.777 0.000
0.000 0.000 3.777
H Ni Rb
3 1 1
Direct
0.500 0.000 0.000 H
0.000 0.500 0.000 H
0.000 0.000 0.500 H
0.000 0.000 0.000 Ni
0.500 0.500 0.500 Rb
```

Output
Energy above the most stable polymorph in this dataset   116.0 meV per atom
Spin magnetization   0.00 Bohr magnetons per cell
Symmetry   Pm-3m
V   10.77 Å³/atom


HgTe4Ir | PBE | optimized geometry

POSCAR file:
```
HgTe4Ir
1.0
0.000 4.381 4.381
4.381 0.000 4.381
4.381 4.381 0.000
Te Hg Ir
4 1 1
Direct
0.878 0.374 0.374 Te
0.374 0.374 0.878 Te
0.374 0.878 0.374 Te
0.374 0.374 0.374 Te
0.750 0.750 0.750 Hg
0.000 0.000 0.000 Ir
```

Output
Spin magnetization   0.45 Bohr magnetons per cell
Formation energy (no corrections)   1.06 eV per atom
Symmetry   F-43m
V   28.02 Å³/atom


CaAlFe2Os | PBE | optimized geometry

POSCAR file:
```
CaAlFe2Os
1.0
4.609 0.000 0.000
0.000 5.341 0.000
0.000 0.000 4.609
Fe Al Ca Os
2 1 1 1
Direct
0.000 0.000 0.500 Fe
0.500 0.000 0.000 Fe
0.500 0.500 0.500 Al
0.000 0.500 0.000 Ca
0.000 0.000 0.000 Os
```

Output
Spin magnetization   5.04 Bohr magnetons per cell
Symmetry   P4/mmm
V   22.69 Å³/atom
Calculated formation energy   107.6 kJ per mole of atoms